[1]
# Mn2CdAs2 GGA-PBEsol optimized geometry
data_Mn2CdAs2
_chemical_formula_sum 'Mn2 Cd1 As2'
_cell_length_a 5.922
_cell_length_b 5.922
_cell_length_c 5.922
_cell_angle_alpha 142.61
_cell_angle_beta 142.61
_cell_angle_gamma 53.92
_symmetry_space_group_name_H-M 'P 1'
_symmetry_Int_Tables_number 1
_symmetry_space_group_name_Hall 'P 1'
loop_
_atom_site_label
_atom_site_type_symbol
_atom_site_fract_x
_atom_site_fract_y
_atom_site_fract_z
Mn1 Mn 0.111 0.111 0.000
Mn2 Mn 0.889 0.889 0.000
Cd1 Cd 0.500 0.500 0.000
As1 As 0.250 0.750 0.500
As2 As 0.750 0.250 0.500
# Calculated density, Mg/m³: 8.1
# Symmetry: I4/mmm (139)



[2]
# MnCdAs2 GGA-PBEsol optimized geometry
data_MnCdAs2
_chemical_formula_sum 'Mn1 Cd1 As2'
_cell_length_a 2.821
_cell_length_b 2.821
_cell_length_c 9.556
_cell_angle_alpha 90.00
_cell_angle_beta 90.00
_cell_angle_gamma 103.36
_symmetry_space_group_name_H-M 'P 1'
_symmetry_Int_Tables_number 1
_symmetry_space_group_name_Hall 'P 1'
loop_
_atom_site_label
_atom_site_type_symbol
_atom_site_fract_x
_atom_site_fract_y
_atom_site_fract_z
Mn1 Mn 0.000 0.000 0.000
Cd1 Cd 0.000 0.000 0.500
As1 As 0.500 0.500 0.183
As2 As 0.500 0.500 0.817
# Calculated density, Mg/m³: 7.1
# Symmetry: Cmmm (65)



[3]
# MnCdAs2 GGA-PBEsol optimized geometry
data_MnCdAs2
_chemical_formula_sum 'Mn1 Cd1 As2'
_cell_length_a 6.920
_cell_length_b 6.920
_cell_length_c 6.920
_cell_angle_alpha 154.79
_cell_angle_beta 149.44
_cell_angle_gamma 40.02
_symmetry_space_group_name_H-M 'P 1'
_symmetry_Int_Tables_number 1
_symmetry_space_group_name_Hall 'P 1'
loop_
_atom_site_label
_atom_site_type_symbol
_atom_site_fract_x
_atom_site_fract_y
_atom_site_fract_z
Mn1 Mn 0.000 0.000 0.000
Cd1 Cd 0.773 0.273 0.500
As1 As 0.143 0.643 0.500
As2 As 0.441 0.441 0.000
# Calculated density, Mg/m³: 7.4
# Symmetry: Imm2 (44)



[4]
# MnCdAs GGA-PBEsol optimized geometry
data_MnCdAs
_chemical_formula_sum 'Mn1 Cd1 As1'
_cell_length_a 4.374
_cell_length_b 4.374
_cell_length_c 4.374
_cell_angle_alpha 60.00
_cell_angle_beta 60.00
_cell_angle_gamma 60.00
_symmetry_space_group_name_H-M 'P 1'
_symmetry_Int_Tables_number 1
_symmetry_space_group_name_Hall 'P 1'
loop_
_atom_site_label
_atom_site_type_symbol
_atom_site_fract_x
_atom_site_fract_y
_atom_site_fract_z
Mn1 Mn 0.000 0.000 0.000
Cd1 Cd 0.500 0.500 0.500
As1 As 0.250 0.250 0.250
# Calculated density, Mg/m³: 6.8
# Energy relative to the lowest polymorph listed for this composition, eV per atom: 0.098
# Symmetry: F-43m (216)



[5]
# Mn2CdAs2 GGA-PBEsol optimized geometry
data_Mn2CdAs2
_chemical_formula_sum 'Mn2 Cd1 As2'
_cell_length_a 5.562
_cell_length_b 5.562
_cell_length_c 5.562
_cell_angle_alpha 137.28
_cell_angle_beta 137.28
_cell_angle_gamma 62.01
_symmetry_space_group_name_H-M 'P 1'
_symmetry_Int_Tables_number 1
_symmetry_space_group_name_Hall 'P 1'
loop_
_atom_site_label
_atom_site_type_symbol
_atom_site_fract_x
_atom_site_fract_y
_atom_site_fract_z
Mn1 Mn 0.250 0.750 0.500
Mn2 Mn 0.750 0.250 0.500
Cd1 Cd 0.000 0.000 0.000
As1 As 0.371 0.371 0.000
As2 As 0.629 0.629 0.000
# Calculated density, Mg/m³: 7.9
# Symmetry: I4/mmm (139)



[6]
# Mn2CdAs GGA-PBEsol optimized geometry
data_Mn2CdAs
_chemical_formula_sum 'Mn2 Cd1 As1'
_cell_length_a 4.677
_cell_length_b 4.677
_cell_length_c 4.677
_cell_angle_alpha 135.32
_cell_angle_beta 122.21
_cell_angle_gamma 75.88
_symmetry_space_group_name_H-M 'P 1'
_symmetry_Int_Tables_number 1
_symmetry_space_group_name_Hall 'P 1'
loop_
_atom_site_label
_atom_site_type_symbol
_atom_site_fract_x
_atom_site_fract_y
_atom_site_fract_z
Mn1 Mn 0.217 0.217 0.000
Mn2 Mn 0.783 0.783 0.000
Cd1 Cd 0.500 0.000 0.500
As1 As 0.000 0.500 0.500
# Calculated density, Mg/m³: 8.3
# Energy relative to the lowest polymorph listed for this composition, eV per atom: 0.008
# Symmetry: Immm (71)



Results for total magnetization: 1.446; 2.567; 2.088; 3.958; 2.391; 4.861 (in μB per cell, following the order of the records).
Results for calculated volume: 76; 74; 72; 59; 78; 59 (in Å³ per cell, following the order of the records).
Results for calculated total energy: -5.9250; -5.2147; -5.2073; -5.0009; -6.1518; -6.1552 (in eV/atom, following the order of the records).